DFT (PBE) results for TbY4Ru2 after structural relaxation.

Unit cell a=7.788 b=6.371 c=7.961 alpha=90.00 beta=112.70 gamma=90.00
Space group P2_1/m (No. 11)
Unique sites:
Tb 0.026 0.250 0.165 [2 per cell]
Y 0.242 0.501 0.585 [4 per cell]
Y 0.324 0.750 0.248 [2 per cell]
Y 0.378 0.250 0.020 [2 per cell]
Ru 0.022 0.250 0.743 [2 per cell]
Ru 0.412 0.250 0.374 [2 per cell]

Theoretical density (Mg/m³): 6.5
D(E_F) (states/eV/cell): 13.932
VASP energy (eV for the cell shown): -101.2
Formation energy from the elements (meV/atom): -223

***

DFT (PBE) results for Tb5YRu3 after structural relaxation.

Unit cell a=12.324 b=9.060 c=9.978 alpha=90.00 beta=112.70 gamma=90.00
Space group C2/m (No. 12)
Unique sites:
Tb 0.000 0.199 0.000 [4 per cell]
Tb 0.067 0.000 0.368 [4 per cell]
Tb 0.166 0.301 0.667 [8 per cell]
Tb 0.233 0.500 0.034 [4 per cell]
Y 0.101 0.500 0.300 [4 per cell]
Ru 0.000 0.500 0.000 [2 per cell]
Ru 0.000 0.500 0.500 [2 per cell]
Ru 0.165 0.000 0.667 [4 per cell]
Ru 0.167 0.000 0.167 [4 per cell]

Theoretical density (Mg/m³): 7.7
D(E_F) (states/eV/cell): 10.169
VASP energy (eV for the cell shown): -237.2
Formation energy from the elements (meV/atom): -206

***

DFT (PBE) results for Tb2YRu after structural relaxation.

Unit cell a=7.343 b=9.238 c=6.323 alpha=90.00 beta=90.00 gamma=90.00
Space group Pnma (No. 62)
Unique sites:
Tb 0.177 0.064 0.168 [8 per cell]
Y 0.040 0.250 0.633 [4 per cell]
Ru 0.114 0.750 0.956 [4 per cell]

Theoretical density (Mg/m³): 7.9
D(E_F) (states/eV/cell): 12.719
Energy above the most stable polymorph in this dataset (meV/atom): 0.0
VASP energy (eV for the cell shown): -104.9
Formation energy from the elements (meV/atom): -305

***

DFT (PBE) results for TbYZnRu after structural relaxation.

Unit cell a=6.976 b=6.976 c=6.976 alpha=90.00 beta=90.00 gamma=90.00
Space group F-43m (No. 216)
Unique sites:
Tb 0.000 0.000 0.000 [4 per cell]
Y 0.000 0.000 0.500 [4 per cell]
Zn 0.250 0.250 0.750 [4 per cell]
Ru 0.250 0.250 0.250 [4 per cell]

Theoretical density (Mg/m³): 8.1
D(E_F) (states/eV/cell): 12.220
VASP energy (eV for the cell shown): -92.1
Formation energy from the elements (meV/atom): -348

***

DFT (PBE) results for Tb4Zn2Ru after structural relaxation.

Unit cell a=7.060 b=9.930 c=4.872 alpha=90.00 beta=90.00 gamma=90.00
Space group Cmmm (No. 65)
Unique sites:
Tb 0.244 0.000 0.000 [4 per cell]
Tb 0.250 0.250 0.500 [4 per cell]
Zn 0.000 0.247 0.000 [4 per cell]
Ru 0.000 0.000 0.500 [2 per cell]

Theoretical density (Mg/m³): 8.4
D(E_F) (states/eV/cell): 8.736
VASP energy (eV for the cell shown): -64.3
Formation energy from the elements (meV/atom): -256

***

DFT (PBE) results for Tb6ZnRu after structural relaxation.

Unit cell a=4.977 b=4.977 c=17.370 alpha=90.00 beta=90.00 gamma=90.00
Space group I4/mmm (No. 139)
Unique sites:
Tb 0.000 0.000 0.249 [4 per cell]
Tb 0.000 0.500 0.097 [8 per cell]
Zn 0.000 0.000 0.000 [2 per cell]
Ru 0.000 0.000 0.500 [2 per cell]

Theoretical density (Mg/m³): 8.6
D(E_F) (states/eV/cell): 15.777
VASP energy (eV for the cell shown): -79.1
Formation energy from the elements (meV/atom): -155